First-principles (PBE) data for a geometry-optimized Ti3FeTc2 structure, as listed in Alexandria via LeMat-Bulk.

abc: 3.0551 3.0551 9.2249
angles: 90.00 90.00 90.00
Atoms (fractional coordinates):
Fe: 0.5000 0.5000 0.5000
Tc: 0.5000 0.5000 0.1716
Tc: 0.5000 0.5000 0.8284
Ti: 0.0000 0.0000 0.3402
Ti: 0.0000 0.0000 0.0000
Ti: 0.0000 0.0000 0.6598

Output
For the formation energy, the calculation gives -446 meV per atom.

---

First-principles (PBE) data for a geometry-optimized MgBCl2 structure, as listed in Alexandria via LeMat-Bulk.

abc: 4.6515 4.6515 4.6515
angles: 60.00 60.00 60.00
Atoms (fractional coordinates):
B: 0.0000 0.0000 0.0000
Cl: 0.7500 0.7500 0.7500
Cl: 0.2500 0.2500 0.2500
Mg: 0.5000 0.5000 0.5000

Output
As for the relative energy among the computed polymorphs: 363 meV per atom. The value obtained for the uncorrected formation energy is 1.33 eV per formula unit.

---

First-principles (PBE) data for a geometry-optimized MnMoAu2 structure, as listed in Alexandria via LeMat-Bulk.

abc: 9.2620 9.2620 9.2620
angles: 18.05 18.05 18.05
Each line ends with the local moment (μB).
Atoms (fractional coordinates):
Au: 0.9975 0.9975 0.9975  0.04
Au: 0.5025 0.5025 0.5025  0.04
Mo: 0.7500 0.7500 0.7500  -0.06
Mn: 0.2500 0.2500 0.2500  3.74

Output
As for the relative energy among the computed polymorphs: 149 meV per atom. For the formation energy, the calculation gives 283 meV per atom.

---

First-principles (PBE) data for a geometry-optimized Tb4In2Ag structure, as listed in Alexandria via LeMat-Bulk.

abc: 5.2503 5.2503 9.0420
angles: 73.12 73.12 60.00
Atoms (fractional coordinates):
In: 0.2494 0.2494 0.2518
In: 0.7506 0.7506 0.7482
Tb: 0.3770 0.3770 0.8691
Tb: 0.8738 0.8738 0.3785
Tb: 0.6230 0.6230 0.1309
Tb: 0.1262 0.1262 0.6215
Ag: 0.0000 0.0000 0.0000

Output
As for the relative energy among the computed polymorphs: 0 meV per atom. For the formation energy, the calculation gives -266 meV per atom.

---

First-principles (PBE) data for a geometry-optimized GaCo3Re structure, as listed in Alexandria via LeMat-Bulk.

abc: 4.4627 4.4627 4.4627
angles: 90.00 90.00 90.00
Each line ends with the local moment (μB).
Atoms (fractional coordinates):
Re: 0.0000 0.0000 0.0000  0.01
Co: 0.0000 0.0000 0.5000  0.71
Co: 0.0000 0.5000 0.0000  0.66
Co: 0.5000 0.0000 0.0000  0.61
Ga: 0.5000 0.5000 0.5000  0.02

Output
As for the relative energy among the computed polymorphs: 59 meV per atom. For the formation energy, the calculation gives 1405 meV per atom.

---

First-principles (PBE) data for a geometry-optimized Y2Ho4MgSc structure, as listed in Alexandria via LeMat-Bulk.

abc: 4.9129 4.9136 10.9744
angles: 63.36 90.00 90.00
Atoms (fractional coordinates):
Y: 0.5000 0.0000 0.5000
Y: 0.0000 0.0000 0.0000
Ho: 0.5000 0.2538 0.7466
Ho: 0.0000 0.7536 0.7465
Ho: 0.0000 0.2464 0.2535
Ho: 0.5000 0.7462 0.2534
Sc: 0.0000 0.5000 0.5000
Mg: 0.5000 0.5000 0.0000

Output
For the formation energy, the calculation gives 35 meV per atom.

---

First-principles (PBE) data for a geometry-optimized As2RuCl structure, as listed in Alexandria via LeMat-Bulk.

abc: 4.8004 4.8004 2.9318
angles: 90.00 90.00 90.00
Atoms (fractional coordinates):
Cl: 0.5000 0.0000 0.5000
Ru: 0.0000 0.5000 0.5000
As: 0.0000 0.0000 0.0000
As: 0.5000 0.5000 0.0000

Output
As for the relative energy among the computed polymorphs: 727 meV per atom. The value obtained for the uncorrected formation energy is 2.22 eV per formula unit.

---

First-principles (PBE) data for a geometry-optimized PbClF2 structure, as listed in Alexandria via LeMat-Bulk.

abc: 7.0586 7.0586 7.0586
angles: 34.24 34.24 34.24
Each line ends with the local moment (μB).
Atoms (fractional coordinates):
Pb: 0.5000 0.5000 0.5000  0.01
Cl: 0.0000 0.0000 0.0000  0.60
F: 0.8726 0.8726 0.8726  0.10
F: 0.1274 0.1274 0.1274  0.10

Output
As for the relative energy among the computed polymorphs: 184 meV per atom. The value obtained for the uncorrected formation energy is -5.65 eV per formula unit.

---

First-principles (PBE) data for a geometry-optimized PmTaGa structure, as listed in Alexandria via LeMat-Bulk.

abc: 3.2109 3.1054 15.2623
angles: 90.00 90.00 121.13
Atoms (fractional coordinates):
Ga: 0.5854 0.1708 0.0000
Ga: 0.2928 0.5856 0.5000
Ta: 0.2504 0.5009 0.8561
Ta: 0.2504 0.5009 0.1439
Pm: 0.6438 0.2875 0.6780
Pm: 0.6438 0.2875 0.3220

Output
For the formation energy, the calculation gives 182 meV per atom.

---

First-principles (PBE) data for a geometry-optimized Zr2GaRu4 structure, as listed in Alexandria via LeMat-Bulk.

abc: 4.4952 4.4952 7.3405
angles: 72.17 72.17 90.00
Each line ends with the local moment (μB).
Atoms (fractional coordinates):
Zr: 0.3696 0.3696 0.2609  -0.10
Zr: 0.6304 0.6304 0.7391  -0.10
Ru: 0.5000 0.0000 0.0000  0.26
Ru: 0.8185 0.8185 0.3629  0.80
Ru: 0.0000 0.5000 0.0000  0.26
Ru: 0.1815 0.1815 0.6371  0.80
Ga: 0.0000 0.0000 0.0000  -0.02

Output
For the formation energy, the calculation gives 469 meV per atom.

---

First-principles (PBE) data for a geometry-optimized LaTm7Th3 structure, as listed in Alexandria via LeMat-Bulk.

abc: 8.5234 7.0239 7.0239
angles: 120.00 90.00 90.00
Atoms (fractional coordinates):
Tm: 0.1150 0.6667 0.3333
Tm: 0.4508 0.8319 0.6638
Tm: 0.4508 0.8319 0.1681
Tm: 0.1128 0.6668 0.8334
Tm: 0.1128 0.1666 0.8334
Tm: 0.4508 0.3362 0.1681
Tm: 0.1128 0.1666 0.3332
Th: 0.7850 0.5011 0.4989
Th: 0.7850 0.5011 0.0022
Th: 0.7850 0.9978 0.4989
La: 0.4542 0.3333 0.6667

Output
For the formation energy, the calculation gives 221 meV per atom.

---

First-principles (PBE) data for a geometry-optimized Nd4Ho3In2 structure, as listed in Alexandria via LeMat-Bulk.

abc: 5.4048 6.7926 9.6637
angles: 60.26 73.80 66.54
Atoms (fractional coordinates):
Nd: 0.1155 0.4262 0.3430
Nd: 0.6688 0.6271 0.0353
Nd: 0.8845 0.5738 0.6570
Nd: 0.3312 0.3729 0.9647
Ho: 0.4187 0.8071 0.3549
Ho: 0.0000 0.0000 0.0000
Ho: 0.5813 0.1929 0.6451
In: 0.2063 0.9052 0.6830
In: 0.7937 0.0948 0.3170

Output
For the formation energy, the calculation gives -182 meV per atom.

---

First-principles (PBE) data for a geometry-optimized PmBiSb structure, as listed in Alexandria via LeMat-Bulk.

abc: 5.8938 5.9033 6.1952
angles: 90.00 90.00 90.00
Atoms (fractional coordinates):
Pm: 0.5000 0.0000 0.6911
Pm: 0.0000 0.5000 0.3089
Bi: 0.5000 0.5000 0.0004
Bi: 0.0000 0.0000 0.9996
Sb: 0.5000 0.5000 0.5008
Sb: 0.0000 0.0000 0.4992

Output
As for the relative energy among the computed polymorphs: 153 meV per atom. The value obtained for the uncorrected formation energy is -1.44 eV per formula unit.

---

First-principles (PBE) data for a geometry-optimized Li2TcPtN structure, as listed in Alexandria via LeMat-Bulk.

abc: 3.9443 3.9443 3.8892
angles: 90.00 90.00 90.00
Atoms (fractional coordinates):
Pt: 0.5000 0.5000 0.5000
N: 0.0000 0.0000 0.0000
Tc: 0.0000 0.0000 0.5000
Li: 0.5000 0.0000 0.0000
Li: 0.0000 0.5000 0.0000

Output
The value obtained for the uncorrected formation energy is -1.40 eV per formula unit.

---

First-principles (PBE) data for a geometry-optimized LiPdN structure, as listed in Alexandria via LeMat-Bulk.

abc: 2.9948 3.1287 15.5791
angles: 90.00 90.00 90.00
Atoms (fractional coordinates):
Pd: 0.0000 0.5000 0.0750
Pd: 0.5000 0.5000 0.4599
Pd: 0.5000 0.0000 0.9599
Pd: 0.0000 0.0000 0.5750
Li: 0.5000 0.0000 0.1683
Li: 0.0000 0.5000 0.2989
Li: 0.5000 0.5000 0.6683
Li: 0.0000 0.0000 0.7989
N: 0.5000 0.5000 0.7931
N: 0.5000 0.0000 0.2931
N: 0.5000 0.5000 0.8721
N: 0.5000 0.0000 0.3721

Output
As for the relative energy among the computed polymorphs: 75 meV per atom. The value obtained for the uncorrected formation energy is -0.46 eV per formula unit.

---

First-principles (PBE) data for a geometry-optimized Sr2LiZn4Pd3 structure, as listed in Alexandria via LeMat-Bulk.

abc: 4.4749 4.4749 10.3022
angles: 90.00 90.00 90.00
Atoms (fractional coordinates):
Zn: 0.0000 0.0000 0.0000
Zn: 0.5000 0.0000 0.6251
Zn: 0.5000 0.5000 0.0000
Zn: 0.0000 0.5000 0.3749
Pd: 0.0000 0.0000 0.5000
Pd: 0.0000 0.5000 0.1278
Pd: 0.5000 0.0000 0.8722
Sr: 0.0000 0.5000 0.7552
Sr: 0.5000 0.0000 0.2448
Li: 0.5000 0.5000 0.5000

Output
For the formation energy, the calculation gives -479 meV per atom.

---

First-principles (PBE) data for a geometry-optimized Zn2InSi structure, as listed in Alexandria via LeMat-Bulk.

abc: 4.1889 4.1947 4.1816
angles: 90.00 90.00 90.00
Atoms (fractional coordinates):
Si: 0.0000 0.5000 0.5000
Zn: 0.0000 0.0000 0.0000
Zn: 0.5000 0.5000 0.0000
In: 0.5000 0.0000 0.5000

Output
As for the relative energy among the computed polymorphs: 86 meV per atom. The value obtained for the uncorrected formation energy is 1.19 eV per formula unit.

---

First-principles (PBE) data for a geometry-optimized MgCo2Pb structure, as listed in Alexandria via LeMat-Bulk.

abc: 3.2096 3.2237 6.7996
angles: 61.69 90.00 90.00
Each line ends with the local moment (μB).
Atoms (fractional coordinates):
Co: 0.0000 0.5009 0.4990  0.35
Co: 0.0000 0.9991 0.0010  0.35
Pb: 0.5000 0.7500 0.7500  -0.02
Mg: 0.5000 0.2500 0.2500  -0.01

Output
For the formation energy, the calculation gives 345 meV per atom.

---

First-principles (PBE) data for a geometry-optimized YTmTlCu structure, as listed in Alexandria via LeMat-Bulk.

abc: 5.1477 5.1477 5.1477
angles: 60.00 60.00 60.00
Atoms (fractional coordinates):
Cu: 0.5000 0.5000 0.5000
Y: 0.7500 0.7500 0.7500
Tl: 0.0000 0.0000 0.0000
Tm: 0.2500 0.2500 0.2500

Output
For the formation energy, the calculation gives -261 meV per atom.

---

First-principles (PBE) data for a geometry-optimized NaPaPdO6 structure, as listed in Alexandria via LeMat-Bulk.

abc: 4.7284 5.3912 5.3912
angles: 120.00 90.00 90.00
Each line ends with the local moment (μB).
Atoms (fractional coordinates):
O: 0.7431 0.2914 0.9769  0.24
O: 0.7431 0.6856 0.7086  0.24
O: 0.2569 0.0231 0.7086  0.24
O: 0.2569 0.6856 0.9769  0.24
O: 0.7431 0.0231 0.3144  0.24
O: 0.2569 0.2914 0.3144  0.24
Pd: 0.5000 0.0000 0.0000  0.31
Pa: 0.0000 0.3333 0.6667  -0.06
Na: 0.5000 0.6667 0.3333  0.00

Output
The value obtained for the uncorrected formation energy is -14.00 eV per formula unit.

---

First-principles (PBE) data for a geometry-optimized ZnTe2HC structure, as listed in Alexandria via LeMat-Bulk.

abc: 4.9120 3.4823 4.9120
angles: 90.00 90.00 90.00
Atoms (fractional coordinates):
C: 0.5000 0.5000 0.5000
Te: 0.5000 0.0000 0.0000
Te: 0.0000 0.0000 0.5000
H: 0.0000 0.0000 0.0000
Zn: 0.0000 0.5000 0.0000

Output
Its total energy is -0.187 Ry per atom.

---

First-principles (PBE) data for a geometry-optimized Hg2PtF structure, as listed in Alexandria via LeMat-Bulk.

abc: 6.9565 6.9565 5.8459
angles: 53.49 53.49 90.00
Atoms (fractional coordinates):
Pt: 0.7500 0.2500 0.5000
Pt: 0.0000 0.0000 0.0000
Hg: 0.3750 0.4033 0.7500
Hg: 0.8750 0.8467 0.7500
Hg: 0.1533 0.6250 0.2500
Hg: 0.5967 0.1250 0.2500
F: 0.2500 0.7500 0.5000
F: 0.5000 0.5000 0.0000

Output
As for the relative energy among the computed polymorphs: 0 meV per atom. The value obtained for the uncorrected formation energy is -1.30 eV per formula unit.

---

First-principles (PBE) data for a geometry-optimized Sr3AlO4F structure, as listed in Alexandria via LeMat-Bulk.

abc: 7.4197 7.4197 7.4197
angles: 125.16 125.16 81.27
Atoms (fractional coordinates):
Sr: 0.7500 0.7500 0.0000
Sr: 0.8312 0.6688 0.5000
Sr: 0.3312 0.8312 0.1624
Sr: 0.2500 0.2500 0.0000
Sr: 0.6688 0.1688 0.8376
Sr: 0.1688 0.3312 0.5000
O: 0.9942 0.4942 0.7846
O: 0.7904 0.0058 0.5000
O: 0.5058 0.2904 0.5000
O: 0.0058 0.5058 0.2154
O: 0.4942 0.7096 0.5000
O: 0.2904 0.7904 0.7846
O: 0.7096 0.2096 0.2154
O: 0.2096 0.9942 0.5000
Al: 0.7500 0.2500 0.5000
Al: 0.2500 0.7500 0.5000
F: 0.5000 0.5000 0.0000
F: 0.0000 0.0000 0.0000

Output
The value obtained for the uncorrected formation energy is -27.60 eV per formula unit.

---

First-principles (PBE) data for a geometry-optimized CaPOs2 structure, as listed in Alexandria via LeMat-Bulk.

abc: 2.9065 3.6405 6.5655
angles: 90.00 90.00 90.00
Atoms (fractional coordinates):
Os: 0.0000 0.0000 0.0697
Os: 0.5000 0.5000 0.2593
Ca: 0.5000 0.5000 0.7359
P: 0.0000 0.0000 0.4352

Output
For the formation energy, the calculation gives 174 meV per atom.

---

First-principles (PBE) data for a geometry-optimized PuPa5S6 structure, as listed in Alexandria via LeMat-Bulk.

abc: 6.8496 6.8496 6.7155
angles: 99.94 99.94 121.48
Each line ends with the local moment (μB).
Atoms (fractional coordinates):
S: 0.2497 0.2497 0.7519  -0.02
S: 0.7503 0.7503 0.2481  -0.02
S: 0.4149 0.0831 0.2487  -0.02
S: 0.9169 0.5851 0.7513  -0.02
S: 0.0831 0.4149 0.2487  -0.02
S: 0.5851 0.9169 0.7513  -0.02
Pa: 0.3329 0.6671 0.0000  0.26
Pa: 0.1659 0.8341 0.5000  0.10
Pa: 0.5000 0.5000 0.5000  0.13
Pa: 0.8341 0.1659 0.5000  0.10
Pa: 0.6671 0.3329 0.0000  0.26
Pu: 0.0000 0.0000 0.0000  5.17

Output
The value obtained for the uncorrected formation energy is -19.55 eV per formula unit.

---

First-principles (PBE) data for a geometry-optimized IrRuSeN2 structure, as listed in Alexandria via LeMat-Bulk.

abc: 3.7194 3.7194 5.6345
angles: 90.00 90.00 90.00
Each line ends with the local moment (μB).
Atoms (fractional coordinates):
Ir: 0.5000 0.5000 0.5000  0.77
Ru: 0.0000 0.0000 0.0000  -0.02
N: 0.5000 0.0000 0.0000  0.15
N: 0.0000 0.5000 0.0000  0.15
Se: 0.0000 0.0000 0.5000  0.03

Output
As for the relative energy among the computed polymorphs: 50 meV per atom. The value obtained for the uncorrected formation energy is 6.09 eV per formula unit.

---

| no. | V (Å³ per cell) | DOS(E_F) (states/eV/cell) |
| --- | --- | --- |
| 1 | 86.1 | 5.5 |
| 2 | 71.2 | 1.8 |
| 3 | 66.6 | 3.2 |
| 4 | 203.4 | 7.8 |
| 5 | 88.9 | 7.9 |
| 6 | 236.8 | 12.3 |
| 7 | 67.6 | 3.9 |
| 8 | 99.3 | 0.0 |
| 9 | 130.3 | 5.5 |
| 10 | 133.7 | 5.5 |
| 11 | 364.2 | 15.6 |
| 12 | 281.1 | 9.2 |
| 13 | 215.5 | 3.4 |
| 14 | 60.5 | 3.5 |
| 15 | 146.0 | 4.2 |
| 16 | 206.3 | 4.4 |
| 17 | 73.5 | 1.7 |
| 18 | 61.9 | 2.6 |
| 19 | 96.5 | 2.7 |
| 20 | 119.0 | 7.0 |
| 21 | 84.0 | 3.0 |
| 22 | 152.9 | 1.9 |
| 23 | 262.9 | 0.0 |
| 24 | 69.5 | 3.3 |
| 25 | 251.4 | 19.8 |
| 26 | 77.9 | 4.7 |